(1)
4
Lattice="5.313 0.000 0.000 2.657 4.602 0.000 2.657 1.534 4.338" Properties=species:S:1:pos:R:3 comment="NaCaMgTl | Alexandria | PBE-GGA | optimized geometry" sg=F-43m formation_energy_ev_per_atom=-0.164 m_tot_mub_per_fu=0.00 pbc="T T T"
Mg 2.657 1.534 1.085
Na 0.000 0.000 0.000
Tl 5.313 3.068 2.169
Ca 7.970 4.602 3.254

(2)
4
Lattice="-1.418 -5.254 -1.437 4.006 -3.845 -0.916 0.743 -4.215 3.655" Properties=species:S:1:pos:R:3 comment="NaCaYMg | Alexandria | PBE-GGA | optimized geometry" sg=F-43m formation_energy_ev_per_atom=0.126 m_tot_mub_per_fu=0.00 pbc="T T T"
Y 2.499 -9.985 0.976
Na 0.000 0.000 0.000
Ca 0.833 -3.328 0.325
Mg 1.666 -6.657 0.651

(3)
5
Lattice="5.799 0.000 0.000 0.000 5.799 0.000 0.000 0.000 5.175" Properties=species:S:1:pos:R:3 comment="NaCa2MgZn | Alexandria | PBE-GGA | optimized geometry" sg=P4/mmm formation_energy_ev_per_atom=0.042 m_tot_mub_per_fu=0.00 pbc="T T T"
Mg 0.000 0.000 2.587
Na 2.899 2.899 2.587
Zn 0.000 0.000 0.000
Ca 0.000 2.899 0.000
Ca 2.899 0.000 0.000